Entry 1:
! TmMoH3 | the Alexandria database | GGA-PBE | optimized geometry; values from VASP
! M_tot = 0.0 μB/cell
! E = -0.3953 Ry per atom
! space-group type = Pm-3m, No. 221
&SYSTEM
  ibrav = 0, nat = 5, ntyp = 3
/
ATOMIC_SPECIES
Tm 168.93 Tm.upf
Mo 95.94 Mo.upf
H 1.01 H.upf
CELL_PARAMETERS angstrom
3.6505 0.0000 0.0000
0.0000 3.6505 0.0000
0.0000 0.0000 3.6505
ATOMIC_POSITIONS crystal
Tm 0.0000 0.0000 0.0000
Mo 0.5000 0.5000 0.5000
H 0.0000 0.5000 0.5000
H 0.5000 0.0000 0.5000
H 0.5000 0.5000 0.0000

---

Entry 2:
! TcAs2SeBr | the Alexandria database | GGA-PBE | optimized geometry; values from VASP
! relative energy among the computed polymorphs = 1289.9 meV per atom
! M_tot = 3.0 μB/cell
! formation energy without anion corrections = 1.6214 eV/atom
! space-group type = P4/mmm, No. 123
&SYSTEM
  ibrav = 0, nat = 5, ntyp = 4
/
ATOMIC_SPECIES
Tc 98.00 Tc.upf
As 74.92 As.upf
Se 78.96 Se.upf
Br 79.90 Br.upf
CELL_PARAMETERS angstrom
5.0230 0.0000 0.0000
0.0000 5.0230 0.0000
0.0000 0.0000 5.1790
ATOMIC_POSITIONS crystal
Tc 0.0000 0.0000 0.0000
As 0.0000 0.5000 0.5000
As 0.5000 0.0000 0.5000
Se 0.5000 0.5000 0.0000
Br 0.5000 0.5000 0.5000

---

Entry 3:
! Pr2GdTe | the Alexandria database | GGA-PBE | optimized geometry; values from VASP
! relative energy among the computed polymorphs = 63.9 meV per atom
! M_tot = 7.6 μB/cell
! formation energy without anion corrections = -0.5328 eV/atom
! space-group type = P4/mmm, No. 123
&SYSTEM
  ibrav = 0, nat = 4, ntyp = 3
/
ATOMIC_SPECIES
Pr 140.91 Pr.upf
Gd 157.25 Gd.upf
Te 127.60 Te.upf
CELL_PARAMETERS angstrom
5.0100 0.0000 0.0000
0.0000 5.0100 0.0000
0.0000 0.0000 4.7596
ATOMIC_POSITIONS crystal
Pr 0.0000 0.5000 0.0000
Pr 0.5000 0.0000 0.0000
Gd 0.0000 0.0000 0.5000
Te 0.5000 0.5000 0.5000

---

Entry 4:
! Sc3NiAg | the Alexandria database | GGA-PBE | optimized geometry; values from VASP
! relative energy among the computed polymorphs = 233.7 meV per atom
! M_tot = 0.0 μB/cell
! space-group type = Pm-3m, No. 221
&SYSTEM
  ibrav = 0, nat = 5, ntyp = 3
/
ATOMIC_SPECIES
Sc 44.96 Sc.upf
Ni 58.69 Ni.upf
Ag 107.87 Ag.upf
CELL_PARAMETERS angstrom
4.8611 0.0000 0.0000
0.0000 4.8611 0.0000
0.0000 0.0000 4.8611
ATOMIC_POSITIONS crystal
Sc 0.0000 0.0000 0.5000
Sc 0.0000 0.5000 0.0000
Sc 0.5000 0.0000 0.0000
Ni 0.0000 0.0000 0.0000
Ag 0.5000 0.5000 0.5000

---

Entry 5:
! GaAsRh2 | the Alexandria database | GGA-PBE | optimized geometry; values from VASP
! relative energy among the computed polymorphs = 0.0 meV per atom
! M_tot = 0.0 μB/cell
! space-group type = P2_1/c, No. 14
&SYSTEM
  ibrav = 0, nat = 16, ntyp = 3
/
ATOMIC_SPECIES
Ga 69.72 Ga.upf
As 74.92 As.upf
Rh 102.91 Rh.upf
CELL_PARAMETERS angstrom
6.9232 0.0000 0.0000
0.0000 6.3689 0.0000
-0.0002 0.0000 5.7094
ATOMIC_POSITIONS crystal
Ga 0.1196 0.0852 0.3044
Ga 0.1196 0.4148 0.8044
Ga 0.8804 0.5852 0.1956
Ga 0.8804 0.9148 0.6956
As 0.3658 0.5603 0.1936
As 0.3658 0.9397 0.6936
As 0.6342 0.0603 0.3064
As 0.6342 0.4397 0.8064
Rh 0.1435 0.6995 0.4943
Rh 0.1435 0.8005 0.9943
Rh 0.3964 0.2057 0.0089
Rh 0.3964 0.2943 0.5089
Rh 0.6036 0.7057 0.4911
Rh 0.6036 0.7943 0.9911
Rh 0.8565 0.1995 0.0057
Rh 0.8565 0.3005 0.5057

---

Entry 6:
! Ho2Tl2TcO6 | the Alexandria database | GGA-PBE | optimized geometry; values from VASP
! M_tot = 3.0 μB/cell
! formation energy without anion corrections = -2.0733 eV/atom
! space-group type = C2/m, No. 12
&SYSTEM
  ibrav = 0, nat = 11, ntyp = 4
/
ATOMIC_SPECIES
Ho 164.93 Ho.upf
Tl 204.38 Tl.upf
Tc 98.00 Tc.upf
O 16.00 O.upf
CELL_PARAMETERS angstrom
2.9000 -5.0075 0.0000
2.9000 5.0075 0.0000
-1.7519 0.0000 6.5674
ATOMIC_POSITIONS crystal
Ho 0.1655 0.8345 0.0000
Ho 0.8345 0.1655 0.0000
Tl 0.3365 0.6635 0.5000
Tl 0.6635 0.3365 0.5000
Tc 0.5000 0.5000 0.0000
O 0.1419 0.4534 0.8385
O 0.2463 0.2463 0.1680
O 0.4534 0.1419 0.8385
O 0.5466 0.8581 0.1615
O 0.7537 0.7537 0.8320
O 0.8581 0.5466 0.1615

---

Entry 7:
! TaCdAs2Ru | the Alexandria database | GGA-PBE | optimized geometry; values from VASP
! M_tot = 0.0 μB/cell
! E = -0.4029 Ry per atom
! space-group type = P4/mmm, No. 123
&SYSTEM
  ibrav = 0, nat = 5, ntyp = 4
/
ATOMIC_SPECIES
Ta 180.95 Ta.upf
Cd 112.41 Cd.upf
As 74.92 As.upf
Ru 101.07 Ru.upf
CELL_PARAMETERS angstrom
4.9594 0.0000 0.0000
0.0000 4.9594 0.0000
0.0000 0.0000 4.8278
ATOMIC_POSITIONS crystal
Ta 0.0000 0.0000 0.0000
Cd 0.5000 0.5000 0.5000
As 0.0000 0.5000 0.0000
As 0.5000 0.0000 0.0000
Ru 0.0000 0.0000 0.5000

---

Entry 8:
! Tb12SiNi6 | the Alexandria database | GGA-PBE | optimized geometry; values from VASP
! M_tot = 0.0 μB/cell
! formation energy without anion corrections = -0.3451 eV/atom
! space-group type = Im-3, No. 204
&SYSTEM
  ibrav = 0, nat = 19, ntyp = 3
/
ATOMIC_SPECIES
Tb 158.93 Tb.upf
Si 28.09 Si.upf
Ni 58.69 Ni.upf
CELL_PARAMETERS angstrom
-4.8344 4.8344 4.8344
4.8344 -4.8344 4.8344
4.8344 4.8344 -4.8344
ATOMIC_POSITIONS crystal
Tb 0.1150 0.3011 0.8140
Tb 0.1860 0.4871 0.3011
Tb 0.1860 0.8850 0.6989
Tb 0.3011 0.1860 0.4871
Tb 0.3011 0.8140 0.1150
Tb 0.4871 0.3011 0.1860
Tb 0.5129 0.6989 0.8140
Tb 0.6989 0.1860 0.8850
Tb 0.6989 0.8140 0.5129
Tb 0.8140 0.1150 0.3011
Tb 0.8140 0.5129 0.6989
Tb 0.8850 0.6989 0.1860
Si 0.0000 0.0000 0.0000
Ni 0.1250 0.5000 0.6250
Ni 0.3750 0.8750 0.5000
Ni 0.5000 0.3750 0.8750
Ni 0.5000 0.6250 0.1250
Ni 0.6250 0.1250 0.5000
Ni 0.8750 0.5000 0.3750

---

Entry 9:
! KLaReN4 | the Alexandria database | GGA-PBE | optimized geometry; values from VASP
! M_tot = 2.0 μB/cell
! formation energy without anion corrections = -0.4550 eV/atom
! space-group type = P2_1/m, No. 11
&SYSTEM
  ibrav = 0, nat = 14, ntyp = 4
/
ATOMIC_SPECIES
K 39.10 K.upf
La 138.91 La.upf
Re 186.21 Re.upf
N 14.01 N.upf
CELL_PARAMETERS angstrom
6.4615 0.0000 0.0000
0.0000 6.0356 0.0000
-0.6334 0.0000 7.9632
ATOMIC_POSITIONS crystal
K 0.1408 0.2500 0.3810
K 0.8592 0.7500 0.6190
La 0.2947 0.2500 0.9266
La 0.7053 0.7500 0.0734
Re 0.2118 0.7500 0.1475
Re 0.7882 0.2500 0.8525
N 0.0098 0.7500 0.2968
N 0.0665 0.7500 0.9429
N 0.3895 0.5126 0.1590
N 0.3895 0.9874 0.1590
N 0.6105 0.0126 0.8410
N 0.6105 0.4874 0.8410
N 0.9335 0.2500 0.0571
N 0.9902 0.2500 0.7032

---

Entry 10:
! Co2SbBr | the Alexandria database | GGA-PBE | optimized geometry; values from VASP
! relative energy among the computed polymorphs = 892.1 meV per atom
! M_tot = 3.1 μB/cell
! formation energy without anion corrections = 1.0071 eV/atom
! space-group type = F-43m, No. 216
&SYSTEM
  ibrav = 0, nat = 4, ntyp = 3
/
ATOMIC_SPECIES
Co 58.93 Co.upf
Sb 121.76 Sb.upf
Br 79.90 Br.upf
CELL_PARAMETERS angstrom
0.0000 3.3212 3.3212
3.3212 0.0000 3.3212
3.3212 3.3212 0.0000
ATOMIC_POSITIONS crystal
Co 0.0000 0.0000 0.0000
Co 0.2500 0.2500 0.2500
Sb 0.7500 0.7500 0.7500
Br 0.5000 0.5000 0.5000

---

Entry 11:
! Cs3Ti5I12 | the Alexandria database | GGA-PBE | optimized geometry; values from VASP
! M_tot = 44.0 μB/cell
! formation energy without anion corrections = -0.7382 eV/atom
! space-group type = Ia-3d, No. 230
&SYSTEM
  ibrav = 0, nat = 80, ntyp = 3
/
ATOMIC_SPECIES
Cs 132.91 Cs.upf
Ti 47.87 Ti.upf
I 126.90 I.upf
CELL_PARAMETERS angstrom
-9.5289 9.5289 9.5289
9.5289 -9.5289 9.5289
9.5289 9.5289 -9.5289
ATOMIC_POSITIONS crystal
Cs 0.1250 0.2500 0.3750
Cs 0.1250 0.3750 0.7500
Cs 0.2500 0.3750 0.1250
Cs 0.2500 0.8750 0.6250
Cs 0.3750 0.1250 0.2500
Cs 0.3750 0.7500 0.1250
Cs 0.6250 0.2500 0.8750
Cs 0.6250 0.8750 0.7500
Cs 0.7500 0.1250 0.3750
Cs 0.7500 0.6250 0.8750
Cs 0.8750 0.6250 0.2500
Cs 0.8750 0.7500 0.6250
Ti 0.0000 0.0000 0.0000
Ti 0.0000 0.0000 0.5000
Ti 0.0000 0.5000 0.0000
Ti 0.0000 0.5000 0.5000
Ti 0.1250 0.7500 0.8750
Ti 0.1250 0.8750 0.2500
Ti 0.2500 0.1250 0.8750
Ti 0.2500 0.6250 0.3750
Ti 0.3750 0.2500 0.6250
Ti 0.3750 0.6250 0.7500
Ti 0.5000 0.0000 0.0000
Ti 0.5000 0.0000 0.5000
Ti 0.5000 0.5000 0.0000
Ti 0.5000 0.5000 0.5000
Ti 0.6250 0.3750 0.2500
Ti 0.6250 0.7500 0.3750
Ti 0.7500 0.3750 0.6250
Ti 0.7500 0.8750 0.1250
Ti 0.8750 0.1250 0.7500
Ti 0.8750 0.2500 0.1250
I 0.0101 0.1906 0.1038
I 0.0101 0.3195 0.9063
I 0.0868 0.6906 0.6805
I 0.0868 0.8962 0.4063
I 0.0937 0.6038 0.4132
I 0.0937 0.9899 0.6805
I 0.1038 0.0101 0.1906
I 0.1038 0.5937 0.9132
I 0.1805 0.1906 0.5868
I 0.1805 0.4899 0.5937
I 0.1906 0.1038 0.0101
I 0.1906 0.5868 0.1805
I 0.3094 0.3195 0.9132
I 0.3094 0.4899 0.3962
I 0.3195 0.9063 0.0101
I 0.3195 0.9132 0.3094
I 0.3962 0.3094 0.4899
I 0.3962 0.5868 0.9063
I 0.4063 0.0868 0.8962
I 0.4063 0.8195 0.5101
I 0.4132 0.0937 0.6038
I 0.4132 0.8195 0.8094
I 0.4899 0.3962 0.3094
I 0.4899 0.5937 0.1805
I 0.5101 0.4063 0.8195
I 0.5101 0.6038 0.6906
I 0.5868 0.1805 0.1906
I 0.5868 0.9063 0.3962
I 0.5937 0.1805 0.4899
I 0.5937 0.9132 0.1038
I 0.6038 0.4132 0.0937
I 0.6038 0.6906 0.5101
I 0.6805 0.0868 0.6906
I 0.6805 0.0937 0.9899
I 0.6906 0.5101 0.6038
I 0.6906 0.6805 0.0868
I 0.8094 0.4132 0.8195
I 0.8094 0.8962 0.9899
I 0.8195 0.5101 0.4063
I 0.8195 0.8094 0.4132
I 0.8962 0.4063 0.0868
I 0.8962 0.9899 0.8094
I 0.9063 0.0101 0.3195
I 0.9063 0.3962 0.5868
I 0.9132 0.1038 0.5937
I 0.9132 0.3094 0.3195
I 0.9899 0.6805 0.0937
I 0.9899 0.8094 0.8962

---

Entry 12:
! PmHgI3 | the Alexandria database | GGA-PBE | optimized geometry; values from VASP
! relative energy among the computed polymorphs = 0.0 meV per atom
! M_tot = 0.0 μB/cell
! formation energy without anion corrections = -1.1108 eV/atom
! space-group type = R-3, No. 148
&SYSTEM
  ibrav = 0, nat = 10, ntyp = 3
/
ATOMIC_SPECIES
Pm 145.00 Pm.upf
Hg 200.59 Hg.upf
I 126.90 I.upf
CELL_PARAMETERS angstrom
3.9456 2.2780 10.4792
-3.9456 2.2780 10.4792
0.0000 -4.5560 10.4792
ATOMIC_POSITIONS crystal
Pm 0.1668 0.1668 0.1668
Pm 0.8332 0.8332 0.8332
Hg 0.3374 0.3374 0.3374
Hg 0.6626 0.6626 0.6626
I 0.0822 0.8026 0.4416
I 0.1974 0.5584 0.9178
I 0.4416 0.0822 0.8026
I 0.5584 0.9178 0.1974
I 0.8026 0.4416 0.0822
I 0.9178 0.1974 0.5584

---

Entry 13:
! Be2PtSe | the Alexandria database | GGA-PBE | optimized geometry; values from VASP
! M_tot = 0.0 μB/cell
! formation energy without anion corrections = 0.0557 eV/atom
! space-group type = I-4m2, No. 119
&SYSTEM
  ibrav = 0, nat = 4, ntyp = 3
/
ATOMIC_SPECIES
Be 9.01 Be.upf
Pt 195.08 Pt.upf
Se 78.96 Se.upf
CELL_PARAMETERS angstrom
-1.6583 1.6583 5.0479
1.6583 -1.6583 5.0479
1.6583 1.6583 -5.0479
ATOMIC_POSITIONS crystal
Be 0.0000 0.0000 0.0000
Be 0.7500 0.2500 0.5000
Pt 0.2500 0.7500 0.5000
Se 0.5000 0.5000 0.0000

---

Entry 14:
! Pm2TmSb | the Alexandria database | GGA-PBE | optimized geometry; values from VASP
! relative energy among the computed polymorphs = 212.8 meV per atom
! M_tot = 0.0 μB/cell
! formation energy without anion corrections = -0.2982 eV/atom
! space-group type = Fm-3m, No. 225
&SYSTEM
  ibrav = 0, nat = 4, ntyp = 3
/
ATOMIC_SPECIES
Pm 145.00 Pm.upf
Tm 168.93 Tm.upf
Sb 121.76 Sb.upf
CELL_PARAMETERS angstrom
0.0000 3.8692 3.8692
3.8692 0.0000 3.8692
3.8692 3.8692 0.0000
ATOMIC_POSITIONS crystal
Pm 0.2500 0.2500 0.2500
Pm 0.7500 0.7500 0.7500
Tm 0.0000 0.0000 0.0000
Sb 0.5000 0.5000 0.5000

---

Entry 15:
! CsK2ZnCl5 | the Alexandria database | GGA-PBE | optimized geometry; values from VASP
! M_tot = 0.3 μB/cell
! formation energy without anion corrections = -1.7327 eV/atom
! space-group type = I4/mcm, No. 140
&SYSTEM
  ibrav = 0, nat = 18, ntyp = 4
/
ATOMIC_SPECIES
Cs 132.91 Cs.upf
K 39.10 K.upf
Zn 65.41 Zn.upf
Cl 35.45 Cl.upf
CELL_PARAMETERS angstrom
-4.4399 4.4399 7.1298
4.4399 -4.4399 7.1298
4.4399 4.4399 -7.1298
ATOMIC_POSITIONS crystal
Cs 0.2500 0.2500 0.0000
Cs 0.7500 0.7500 0.0000
K 0.1678 0.6678 0.8357
K 0.3322 0.1678 0.5000
K 0.6678 0.8322 0.5000
K 0.8322 0.3322 0.1643
Zn 0.2500 0.7500 0.5000
Zn 0.7500 0.2500 0.5000
Cl 0.0000 0.0000 0.0000
Cl 0.0076 0.7887 0.5000
Cl 0.2113 0.7113 0.2189
Cl 0.2887 0.5076 0.5000
Cl 0.4924 0.9924 0.7811
Cl 0.5000 0.5000 0.0000
Cl 0.5076 0.0076 0.2189
Cl 0.7113 0.4924 0.5000
Cl 0.7887 0.2887 0.7811
Cl 0.9924 0.2113 0.5000

---

Entry 16:
! KBaNa2Cd | the Alexandria database | GGA-PBE | optimized geometry; values from VASP
! relative energy among the computed polymorphs = 0.0 meV per atom
! M_tot = 0.0 μB/cell
! space-group type = P4/mmm, No. 123
&SYSTEM
  ibrav = 0, nat = 5, ntyp = 4
/
ATOMIC_SPECIES
K 39.10 K.upf
Ba 137.33 Ba.upf
Na 22.99 Na.upf
Cd 112.41 Cd.upf
CELL_PARAMETERS angstrom
6.2355 0.0000 0.0000
0.0000 6.2355 0.0000
0.0000 0.0000 6.5915
ATOMIC_POSITIONS crystal
K 0.0000 0.0000 0.0000
Ba 0.5000 0.5000 0.0000
Na 0.0000 0.5000 0.5000
Na 0.5000 0.0000 0.5000
Cd 0.5000 0.5000 0.5000

---

Entry 17:
! LaPr2Y6 | the Alexandria database | GGA-PBE | optimized geometry; values from VASP
! relative energy among the computed polymorphs = 0.0 meV per atom
! M_tot = 0.0 μB/cell
! space-group type = C2/m, No. 12
&SYSTEM
  ibrav = 0, nat = 9, ntyp = 3
/
ATOMIC_SPECIES
La 138.91 La.upf
Pr 140.91 Pr.upf
Y 88.91 Y.upf
CELL_PARAMETERS angstrom
8.8216 -1.8273 0.0000
8.8216 1.8273 0.0000
-7.6886 0.0000 9.4059
ATOMIC_POSITIONS crystal
La 0.0000 0.0000 0.0000
Pr 0.2966 0.2966 0.9262
Pr 0.7034 0.7034 0.0738
Y 0.0344 0.0344 0.7354
Y 0.3310 0.3310 0.6616
Y 0.3731 0.3731 0.4106
Y 0.6269 0.6269 0.5894
Y 0.6690 0.6690 0.3384
Y 0.9656 0.9656 0.2646

---

Entry 18:
! Hf2PaNb | the Alexandria database | GGA-PBE | optimized geometry; values from VASP
! relative energy among the computed polymorphs = 0.0 meV per atom
! M_tot = 0.0 μB/cell
! space-group type = R3m, No. 160
&SYSTEM
  ibrav = 0, nat = 4, ntyp = 3
/
ATOMIC_SPECIES
Hf 178.49 Hf.upf
Pa 231.04 Pa.upf
Nb 92.91 Nb.upf
CELL_PARAMETERS angstrom
1.5646 0.9033 10.3757
-1.5646 0.9033 10.3757
0.0000 -1.8066 10.3757
ATOMIC_POSITIONS crystal
Hf 0.0000 0.0000 0.0000
Hf 0.1749 0.1749 0.1749
Pa 0.4206 0.4206 0.4206
Nb 0.5873 0.5873 0.5873

---

Entry 19:
! NbSb2PdI | the Alexandria database | GGA-PBE | optimized geometry; values from VASP
! relative energy among the computed polymorphs = 0.0 meV per atom
! M_tot = 0.0 μB/cell
! formation energy without anion corrections = 0.6586 eV/atom
! space-group type = P4/mmm, No. 123
&SYSTEM
  ibrav = 0, nat = 5, ntyp = 4
/
ATOMIC_SPECIES
Nb 92.91 Nb.upf
Sb 121.76 Sb.upf
Pd 106.42 Pd.upf
I 126.90 I.upf
CELL_PARAMETERS angstrom
5.3389 0.0000 0.0000
0.0000 5.3389 0.0000
0.0000 0.0000 5.5613
ATOMIC_POSITIONS crystal
Nb 0.0000 0.0000 0.0000
Sb 0.0000 0.5000 0.0000
Sb 0.5000 0.0000 0.0000
Pd 0.5000 0.5000 0.5000
I 0.0000 0.0000 0.5000

---

Entry 20:
! NdRuO3 | the Alexandria database | GGA-PBE | optimized geometry; values from VASP
! M_tot = 0.1 μB/cell
! formation energy without anion corrections = -1.8481 eV/atom
! space-group type = P2_1/m, No. 11
&SYSTEM
  ibrav = 0, nat = 10, ntyp = 3
/
ATOMIC_SPECIES
Nd 144.24 Nd.upf
Ru 101.07 Ru.upf
O 16.00 O.upf
CELL_PARAMETERS angstrom
5.6125 0.0000 0.0000
0.0000 4.0587 0.0000
-1.4611 0.0000 6.3591
ATOMIC_POSITIONS crystal
Nd 0.0280 0.2500 0.2522
Nd 0.9720 0.7500 0.7478
Ru 0.4608 0.2500 0.8555
Ru 0.5392 0.7500 0.1445
O 0.1712 0.7500 0.1214
O 0.1750 0.2500 0.6253
O 0.4217 0.7500 0.8094
O 0.5783 0.2500 0.1906
O 0.8250 0.7500 0.3747
O 0.8288 0.2500 0.8786